Record 1
Computed, not measured: an optimized crystal structure of Er5GaSe4 at the PBE level of DFT.

The calculation puts the density of states at the Fermi level at 0.306 states/eV per atom.

abc: 5.7343 7.0546 7.0546
angles: 80.49 66.02 66.02
Positions (direct):
Er 0.0982 0.6110 0.1946
Se 0.8036 0.7944 0.6004
Ga 0.0012 0.0000 0.0000
Er 0.9037 0.3890 0.8054
Er 0.2928 0.8054 0.6110
Se 0.5980 0.6004 0.2056
Er 0.5013 0.0000 0.0000
Er 0.7092 0.1946 0.3890
Se 0.1984 0.2056 0.3996
Se 0.4040 0.3996 0.7944



Record 2
Computed, not measured: an optimized crystal structure of Zn2SiAg at the PBE level of DFT.

The calculation puts the density of states at the Fermi level at 0.201 states/eV per atom.

abc: 4.3798 2.8172 5.3034
angles: 89.92 90.00 90.00
Positions (direct):
Zn 0.0000 0.7522 0.4955
Ag 0.5000 0.2500 0.2500
Zn 0.0000 0.7478 0.0045
Si 0.5000 0.7500 0.7500



Record 3
Computed, not measured: an optimized crystal structure of CdPb2Br at the PBE level of DFT.

Its excess energy over the best structure of this formula in the dataset is 23.0 kJ/mol of formula units. The calculation puts the density of states at the Fermi level at 0.631 states/eV per atom.

abc: 3.5804 3.5804 9.9169
angles: 90.00 90.00 112.06
Positions (direct):
Pb 0.0000 0.0000 0.5010
Br 0.5000 0.5000 0.2500
Pb 0.0000 0.0000 0.9990
Cd 0.5000 0.5000 0.7500



no.,M_tot (μB/atom),raw total energy (eV/atom)
1,0.00,-5.517
2,0.00,-2.519
3,0.00,-2.621